Arrangement a

# HfSb2PtI PBE optimized geometry
data_HfSb2PtI
_space_group_name_H-M_alt 'P 4/m m m'
_space_group_IT_number 123
_space_group_name_Hall '-P 4 2'
_cell_length_a 5.213
_cell_length_b 5.213
_cell_length_c 5.340
_cell_angle_alpha 90.00
_cell_angle_beta 90.00
_cell_angle_gamma 90.00
loop_
_atom_site_label
_atom_site_fract_x
_atom_site_fract_y
_atom_site_fract_z
Hf1 0.000 0.000 0.000
Sb1 0.000 0.500 0.500
Pt1 0.500 0.500 0.500
I1 0.500 0.500 0.000
# Theoretical density   8.5 g/cm³
# Total moment   0.0 Bohr magnetons per cell

Arrangement b

# HfSb2PtI PBE optimized geometry
data_HfSb2PtI
_space_group_name_H-M_alt 'P 4/m m m'
_space_group_IT_number 123
_space_group_name_Hall '-P 4 2'
_cell_length_a 5.655
_cell_length_b 5.655
_cell_length_c 5.173
_cell_angle_alpha 90.00
_cell_angle_beta 90.00
_cell_angle_gamma 90.00
loop_
_atom_site_label
_atom_site_fract_x
_atom_site_fract_y
_atom_site_fract_z
Hf1 0.000 0.000 0.000
Sb1 0.000 0.500 0.500
Pt1 0.500 0.500 0.000
I1 0.000 0.000 0.500
# Theoretical density   7.5 g/cm³
# Total moment   0.0 Bohr magnetons per cell

arrangement a is the most stable structure; the next one sits 1015 meV/atom above it.

Arrangement a

# HfTe2PtI PBE optimized geometry
data_HfTe2PtI
_space_group_name_H-M_alt 'P 4/m m m'
_space_group_IT_number 123
_space_group_name_Hall '-P 4 2'
_cell_length_a 5.292
_cell_length_b 5.292
_cell_length_c 5.263
_cell_angle_alpha 90.00
_cell_angle_beta 90.00
_cell_angle_gamma 90.00
loop_
_atom_site_label
_atom_site_fract_x
_atom_site_fract_y
_atom_site_fract_z
Hf1 0.000 0.000 0.000
Te1 0.000 0.500 0.500
Pt1 0.500 0.500 0.500
I1 0.500 0.500 0.000
# Theoretical density   8.5 g/cm³
# Total moment   0.1 Bohr magnetons per cell

Arrangement b

# HfTe2PtI PBE optimized geometry
data_HfTe2PtI
_space_group_name_H-M_alt 'P 4/m m m'
_space_group_IT_number 123
_space_group_name_Hall '-P 4 2'
_cell_length_a 5.552
_cell_length_b 5.552
_cell_length_c 5.466
_cell_angle_alpha 90.00
_cell_angle_beta 90.00
_cell_angle_gamma 90.00
loop_
_atom_site_label
_atom_site_fract_x
_atom_site_fract_y
_atom_site_fract_z
Hf1 0.000 0.000 0.000
Te1 0.000 0.500 0.000
Pt1 0.500 0.500 0.500
I1 0.000 0.000 0.500
# Theoretical density   7.4 g/cm³
# Total moment   0.4 Bohr magnetons per cell

arrangement a is the most stable structure; the next one sits 13 meV/atom above it.

Arrangement a

# RbHfSb2I PBE optimized geometry
data_RbHfSb2I
_space_group_name_H-M_alt 'P 4/m m m'
_space_group_IT_number 123
_space_group_name_Hall '-P 4 2'
_cell_length_a 5.515
_cell_length_b 5.515
_cell_length_c 6.281
_cell_angle_alpha 90.00
_cell_angle_beta 90.00
_cell_angle_gamma 90.00
loop_
_atom_site_label
_atom_site_fract_x
_atom_site_fract_y
_atom_site_fract_z
Rb1 0.000 0.000 0.000
Hf1 0.500 0.500 0.500
Sb1 0.000 0.500 0.500
I1 0.500 0.500 0.000
# Theoretical density   5.5 g/cm³
# Total moment   0.0 Bohr magnetons per cell

Arrangement b

# RbHfSb2I PBE optimized geometry
data_RbHfSb2I
_space_group_name_H-M_alt 'P 4/m m m'
_space_group_IT_number 123
_space_group_name_Hall '-P 4 2'
_cell_length_a 5.872
_cell_length_b 5.872
_cell_length_c 5.998
_cell_angle_alpha 90.00
_cell_angle_beta 90.00
_cell_angle_gamma 90.00
loop_
_atom_site_label
_atom_site_fract_x
_atom_site_fract_y
_atom_site_fract_z
Rb1 0.000 0.000 0.000
Hf1 0.500 0.500 0.500
Sb1 0.000 0.500 0.000
I1 0.000 0.000 0.500
# Theoretical density   5.1 g/cm³
# Total moment   0.0 Bohr magnetons per cell

arrangement a is the most stable structure; the next one sits 1894 meV/atom above it.

Arrangement a

# Hf3ReI PBE optimized geometry
data_Hf3ReI
_space_group_name_H-M_alt 'P m -3 m'
_space_group_IT_number 221
_space_group_name_Hall '-P 4 2 3'
_cell_length_a 5.051
_cell_length_b 5.051
_cell_length_c 5.051
_cell_angle_alpha 90.00
_cell_angle_beta 90.00
_cell_angle_gamma 90.00
loop_
_atom_site_label
_atom_site_fract_x
_atom_site_fract_y
_atom_site_fract_z
Hf1 0.000 0.000 0.500
Re1 0.500 0.500 0.500
I1 0.000 0.000 0.000
# Theoretical density   10.9 g/cm³
# Total moment   1.3 Bohr magnetons per cell

Arrangement b

# Hf3ReI PBE optimized geometry
data_Hf3ReI
_space_group_name_H-M_alt 'P m -3 m'
_space_group_IT_number 221
_space_group_name_Hall '-P 4 2 3'
_cell_length_a 5.112
_cell_length_b 5.112
_cell_length_c 5.112
_cell_angle_alpha 90.00
_cell_angle_beta 90.00
_cell_angle_gamma 90.00
loop_
_atom_site_label
_atom_site_fract_x
_atom_site_fract_y
_atom_site_fract_z
Hf1 0.000 0.000 0.500
Re1 0.000 0.000 0.000
I1 0.500 0.500 0.500
# Theoretical density   10.6 g/cm³
# Total moment   0.0 Bohr magnetons per cell

arrangement b is the most stable structure; the next one sits 1260 meV/atom above it.

Arrangement a

# HfRh3I PBE optimized geometry
data_HfRh3I
_space_group_name_H-M_alt 'P m -3 m'
_space_group_IT_number 221
_space_group_name_Hall '-P 4 2 3'
_cell_length_a 4.774
_cell_length_b 4.774
_cell_length_c 4.774
_cell_angle_alpha 90.00
_cell_angle_beta 90.00
_cell_angle_gamma 90.00
loop_
_atom_site_label
_atom_site_fract_x
_atom_site_fract_y
_atom_site_fract_z
Hf1 0.000 0.000 0.000
Rh1 0.000 0.500 0.500
I1 0.500 0.500 0.500
# Theoretical density   9.4 g/cm³
# Total moment   0.0 Bohr magnetons per cell

Arrangement b

# HfRh3I PBE optimized geometry
data_HfRh3I
_space_group_name_H-M_alt 'P m -3 m'
_space_group_IT_number 221
_space_group_name_Hall '-P 4 2 3'
_cell_length_a 4.853
_cell_length_b 4.853
_cell_length_c 4.853
_cell_angle_alpha 90.00
_cell_angle_beta 90.00
_cell_angle_gamma 90.00
loop_
_atom_site_label
_atom_site_fract_x
_atom_site_fract_y
_atom_site_fract_z
Hf1 0.000 0.000 0.000
Rh1 0.000 0.000 0.500
I1 0.500 0.500 0.500
# Theoretical density   8.9 g/cm³
# Total moment   0.0 Bohr magnetons per cell

arrangement b is the most stable structure; the next one sits 101 meV/atom above it.

Arrangement a

# Hf2RhI PBE optimized geometry
data_Hf2RhI
_space_group_name_H-M_alt 'F m -3 m'
_space_group_IT_number 225
_space_group_name_Hall '-F 4 2 3'
_cell_length_a 6.862
_cell_length_b 6.862
_cell_length_c 6.862
_cell_angle_alpha 90.00
_cell_angle_beta 90.00
_cell_angle_gamma 90.00
loop_
_atom_site_label
_atom_site_fract_x
_atom_site_fract_y
_atom_site_fract_z
Hf1 0.250 0.250 0.250
Rh1 0.000 0.000 0.000
I1 0.000 0.000 0.500
# Theoretical density   12.1 g/cm³
# Total moment   0.0 Bohr magnetons per cell

Arrangement b

# Hf2RhI PBE optimized geometry
data_Hf2RhI
_space_group_name_H-M_alt 'I -4 2 d'
_space_group_IT_number 122
_space_group_name_Hall 'I -4 2bw'
_cell_length_a 6.104
_cell_length_b 6.104
_cell_length_c 13.052
_cell_angle_alpha 90.00
_cell_angle_beta 90.00
_cell_angle_gamma 90.00
loop_
_atom_site_label
_atom_site_fract_x
_atom_site_fract_y
_atom_site_fract_z
Hf1 0.180 0.250 0.125
Rh1 0.000 0.000 0.000
I1 0.000 0.000 0.500
# Theoretical density   8.0 g/cm³
# Total moment   0.0 Bohr magnetons per cell

arrangement a is the most stable structure; the next one sits 297 meV/atom above it.